Entry 1:
Below is a geometry-optimized TlTeHC2 structure, with properties calculated at the PBE level.

Geometry as POSCAR:
```
TlTeHC2
1.0
4.5923 0.0000 0.0000
0.0000 4.5923 0.0000
0.0000 0.0000 3.5970
Tl Te H C
1 1 1 2
direct
0.0000 0.0000 0.0000 Tl
0.5000 0.5000 0.5000 Te
0.0000 0.0000 0.5000 H
0.0000 0.5000 0.0000 C
0.5000 0.0000 0.0000 C
```

Output
**Calculated density**: 7.82 Mg/m³
**Magnetization**: 0.00 μB/cell
**VASP energy**: -16.35 eV/cell

---

Entry 2:
Below is a geometry-optimized AgPt2W structure, with properties calculated at the PBE level.

Geometry as POSCAR:
```
AgPt2W
1.0
4.8608 0.0000 0.0000
0.0000 4.8608 0.0000
0.0000 0.0000 2.7752
Ag Pt W
1 2 1
direct
0.0000 0.0000 0.0000 Ag
0.0000 0.5000 0.5000 Pt
0.5000 0.0000 0.5000 Pt
0.5000 0.5000 0.0000 W
```

Output
**Calculated density**: 17.27 Mg/m³
**ΔH_f (0 K)**: 123.4 meV per atom
**Magnetization**: 0.00 μB/cell
**Energy above the most stable polymorph in this dataset**: 1.32 eV/f.u.

---

Entry 3:
Below is a geometry-optimized Li3CaPd structure, with properties calculated at the PBE level.

Geometry as POSCAR:
```
Li3CaPd
1.0
4.8308 0.0000 0.0000
0.0000 4.8308 0.0000
0.0000 0.0000 4.8308
Li Ca Pd
3 1 1
direct
0.0000 0.0000 0.5000 Li
0.0000 0.5000 0.0000 Li
0.5000 0.0000 0.0000 Li
0.5000 0.5000 0.5000 Ca
0.0000 0.0000 0.0000 Pd
```

Output
**Calculated density**: 2.46 Mg/m³
**ΔH_f (0 K)**: -132.5 meV per atom
**Magnetization**: 0.00 μB/cell
**Energy above the most stable polymorph in this dataset**: 0.68 eV/f.u.

---

Entry 4:
Below is a geometry-optimized KSb2Os structure, with properties calculated at the PBE level.

Geometry as POSCAR:
```
KSb2Os
1.0
0.0000 3.5924 3.5924
3.5924 0.0000 3.5924
3.5924 3.5924 0.0000
K Sb Os
1 2 1
direct
0.0000 0.0000 0.0000 K
0.2500 0.2500 0.2500 Sb
0.5000 0.5000 0.5000 Sb
0.7500 0.7500 0.7500 Os
```

Output
**Calculated density**: 8.47 Mg/m³
**E_form (uncorrected)**: 1.017 eV per atom
**Magnetization**: 0.00 μB/cell
**Energy above the most stable polymorph in this dataset**: 3.89 eV/f.u.